Record 1
Computed, not measured: a geometry-optimized MnCdTcH structure at the PBE level of DFT.

Unit cell a=2.7937 b=2.7937 c=7.2774 alpha=90.00 beta=90.00 gamma=120.00
Last column: nearest neighbours and their distance in Å.
Sites, in units of the cell vectors:
Mn 0.0000 0.0000 0.0000  3 H 1.73
Cd 0.3333 0.6667 0.6135  1 H 2.17
Tc 0.6667 0.3333 0.2648  3 Mn 2.51, 6 Tc 2.79
H 0.3333 0.6667 0.9123  3 Mn 1.73

Computed properties:
**Magnetization**: 0.79 μB per formula unit
**D(E_F)**: 3.23 states/eV/cell
**Polymorph energy (0 for the lowest one)**: 19.5 meV per atom
**Crystal system**: trigonal
**VASP energy**: -5.75 eV/atom
**Space-group type**: P3m1 (156)

---

Record 2
Computed, not measured: a geometry-optimized RbLiH2I structure at the PBE level of DFT.

Unit cell a=4.7501 b=4.7501 c=9.7538 alpha=90.00 beta=90.00 gamma=90.00
Last column: nearest neighbours and their distance in Å.
Sites, in units of the cell vectors:
Rb 0.0000 0.0000 0.0000  4 I 3.36
Li 0.0000 0.0000 0.5000  4 H 2.38
H 0.0000 0.5000 0.5000  2 Li 2.38
H 0.5000 0.0000 0.5000  2 Li 2.38
I 0.5000 0.5000 0.0000  4 Rb 3.36

Computed properties:
**Magnetization**: 1.00 μB per formula unit
**D(E_F)**: 1.36 states/eV/cell
**Crystal system**: tetragonal
**VASP energy**: -2.16 eV/atom
**Space-group type**: P4/mmm (123)

---

Record 3
Computed, not measured: a geometry-optimized Ge2Bi2Au3 structure at the PBE level of DFT.

Unit cell a=4.4160 b=5.8285 c=7.4703 alpha=90.61 beta=90.24 gamma=112.15
Last column: nearest neighbours and their distance in Å.
Sites, in units of the cell vectors:
Ge 0.1385 0.2776 0.4510  5 Au 2.65-2.77
Ge 0.8615 0.7224 0.5490  5 Au 2.65-2.77
Bi 0.3559 0.7175 0.1190  4 Au 2.89-3.21
Bi 0.6441 0.2825 0.8810  4 Au 2.89-3.21
Au 0.2865 0.5677 0.7406  3 Ge 2.65-2.77, 3 Bi 2.89-2.93, 1 Au 2.96
Au 0.5000 0.0000 0.5000  4 Ge 2.69-2.70, 2 Au 2.96
Au 0.7135 0.4323 0.2594  3 Ge 2.65-2.77, 3 Bi 2.89-2.93, 1 Au 2.96

Computed properties:
**Energy of formation from the pure elements**: 0.036 eV per atom
**Magnetization**: 0.00 μB per formula unit
**D(E_F)**: 2.47 states/eV/cell
**Crystal system**: triclinic
**VASP energy**: -3.80 eV/atom
**Space-group type**: P-1 (2)

---

Record 4
Computed, not measured: a geometry-optimized Rb2ReNiS4 structure at the PBE level of DFT.

Unit cell a=6.5570 b=6.5570 c=6.5570 alpha=115.09 beta=115.09 gamma=98.75
Last column: nearest neighbours and their distance in Å.
Sites, in units of the cell vectors:
Rb 0.0000 0.0000 0.0000  8 S 3.45-3.64
Rb 0.7500 0.2500 0.5000  4 S 3.33
Re 0.5000 0.5000 0.0000  4 S 2.23
Ni 0.2500 0.7500 0.5000  4 S 2.22
S 0.2454 0.6054 0.1241  1 Ni 2.22, 1 Re 2.23
S 0.3946 0.5188 0.6400  1 Ni 2.22, 1 Re 2.23
S 0.4812 0.1213 0.8759  1 Ni 2.22, 1 Re 2.23
S 0.8787 0.7546 0.3600  1 Ni 2.22, 1 Re 2.23

Computed properties:
**Magnetization**: 0.00 μB per formula unit
**D(E_F)**: 3.61 states/eV/cell
**Crystal system**: tetragonal
**E_form (uncorrected)**: -5.281 eV per formula unit
**VASP energy**: -5.24 eV/atom
**Space-group type**: I-4 (82)

---

Record 5
Computed, not measured: a geometry-optimized Hf2Os2W structure at the PBE level of DFT.

Unit cell a=8.2795 b=8.2795 c=8.2795 alpha=155.69 beta=155.69 gamma=34.65
Last column: nearest neighbours and their distance in Å.
Sites, in units of the cell vectors:
Hf 0.0995 0.0995 0.0000  4 W 2.92, 4 Os 2.95, 1 Hf 3.15
Hf 0.9005 0.9005 0.0000  4 W 2.92, 4 Os 2.95, 1 Hf 3.15
Os 0.2500 0.7500 0.5000  4 Os 2.47
Os 0.7500 0.2500 0.5000  4 Os 2.47
W 0.5000 0.5000 0.0000  8 Hf 2.92

Computed properties:
**Energy of formation from the pure elements**: 0.417 eV per atom
**Magnetization**: 0.00 μB per formula unit
**D(E_F)**: 4.64 states/eV/cell
**Polymorph energy (0 for the lowest one)**: 576.2 meV per atom
**Crystal system**: tetragonal
**VASP energy**: -10.65 eV/atom
**Space-group type**: I4/mmm (139)

---

Record 6
Computed, not measured: a geometry-optimized ErScZnCo structure at the PBE level of DFT.

Unit cell a=4.6999 b=4.6999 c=4.6999 alpha=60.00 beta=60.00 gamma=60.00
Last column: nearest neighbours and their distance in Å.
Sites, in units of the cell vectors:
Er 0.0000 0.0000 0.0000  4 Co 2.88, 4 Zn 2.88
Sc 0.5000 0.5000 0.5000  4 Co 2.88, 4 Zn 2.88
Zn 0.2500 0.2500 0.2500  4 Er 2.88, 4 Sc 2.88
Co 0.7500 0.7500 0.7500  4 Er 2.88, 4 Sc 2.88

Computed properties:
**Energy of formation from the pure elements**: -0.278 eV per atom
**Magnetization**: 0.00 μB per formula unit
**D(E_F)**: 2.46 states/eV/cell
**Crystal system**: cubic
**VASP energy**: -5.10 eV/atom
**Space-group type**: F-43m (216)

---

Record 7
Computed, not measured: a geometry-optimized Pm4InAg2Rh structure at the PBE level of DFT.

Unit cell a=9.0102 b=9.0102 c=9.0102 alpha=33.93 beta=33.93 gamma=33.93
Last column: nearest neighbours and their distance in Å.
Sites, in units of the cell vectors:
Pm 0.1139 0.1139 0.1139  1 Rh 2.90, 4 Ag 3.08-3.19
Pm 0.3677 0.3677 0.3677  3 Rh 3.16, 4 Ag 3.28-3.40, 1 In 3.37, 3 Pm 3.50
Pm 0.6323 0.6323 0.6323  3 Rh 3.16, 4 Ag 3.28-3.40, 1 In 3.37, 3 Pm 3.50
Pm 0.8861 0.8861 0.8861  1 Rh 2.90, 4 Ag 3.08-3.19
In 0.5000 0.5000 0.5000  8 Pm 3.32-3.37, 6 Ag 3.55
Ag 0.2390 0.2390 0.2390  8 Pm 3.08-3.40
Ag 0.7610 0.7610 0.7610  8 Pm 3.08-3.40
Rh 0.0000 0.0000 0.0000  8 Pm 2.90-3.16

Computed properties:
**Energy of formation from the pure elements**: -0.460 eV per atom
**Magnetization**: 0.00 μB per formula unit
**D(E_F)**: 4.50 states/eV/cell
**Crystal system**: trigonal
**VASP energy**: -4.81 eV/atom
**Space-group type**: R-3m (166)

---

Record 8
Computed, not measured: a geometry-optimized Dy2TmNi9 structure at the PBE level of DFT.

Unit cell a=8.5990 b=8.5990 c=8.5990 alpha=33.42 beta=33.42 gamma=33.42
Last column: nearest neighbours and their distance in Å.
Sites, in units of the cell vectors:
Dy 0.1385 0.1385 0.1385  12 Ni 2.83-3.10, 3 Dy 3.17
Dy 0.8615 0.8615 0.8615  12 Ni 2.83-3.10, 3 Dy 3.17
Tm 0.0000 0.0000 0.0000  18 Ni 2.85-3.17
Ni 0.0808 0.5821 0.5821  7 Ni 2.44-2.52
Ni 0.3331 0.3331 0.3331  6 Ni 2.44-2.45
Ni 0.4179 0.4179 0.9192  7 Ni 2.44-2.52
Ni 0.4179 0.9192 0.4179  7 Ni 2.44-2.52
Ni 0.5000 0.5000 0.5000  6 Ni 2.52
Ni 0.5821 0.0808 0.5821  7 Ni 2.44-2.52
Ni 0.5821 0.5821 0.0808  7 Ni 2.44-2.52
Ni 0.6669 0.6669 0.6669  6 Ni 2.44-2.45
Ni 0.9192 0.4179 0.4179  7 Ni 2.44-2.52

Computed properties:
**Energy of formation from the pure elements**: -0.420 eV per atom
**Magnetization**: 1.13 μB per formula unit
**D(E_F)**: 14.77 states/eV/cell
**Crystal system**: trigonal
**VASP energy**: -5.90 eV/atom
**Space-group type**: R-3m (166)